This record from Alexandria via LeMat-Bulk describes KPuReN4 after structural relaxation. The functional is GGA-PBE.

Structure (CIF):
```
data_KPuReN4
_symmetry_space_group_name_H-M 'P 1 21/m 1'
_symmetry_Int_Tables_number 11
_symmetry_space_group_name_Hall '-P 2yb'
_cell_length_a 6.022
_cell_length_b 5.973
_cell_length_c 7.665
_cell_angle_alpha 90.00
_cell_angle_beta 105.67
_cell_angle_gamma 90.00
loop_
_atom_site_label
_atom_site_type_symbol
_atom_site_fract_x
_atom_site_fract_y
_atom_site_fract_z
K1 K 0.196 0.250 0.426
Pu1 Pu 0.297 0.250 0.953
Re1 Re 0.237 0.750 0.155
N1 N 0.029 0.750 0.937
N2 N 0.037 0.750 0.297
N3 N 0.440 0.512 0.169
```

## Properties
**E_form (uncorrected)**: -454.2 meV/atom

***

This record from Alexandria via LeMat-Bulk describes GaRePd3 after structural relaxation. The functional is GGA-PBE.

Structure (CIF):
```
data_GaRePd3
_symmetry_space_group_name_H-M 'P m -3 m'
_symmetry_Int_Tables_number 221
_symmetry_space_group_name_Hall '-P 4 2 3'
_cell_length_a 4.840
_cell_length_b 4.840
_cell_length_c 4.840
_cell_angle_alpha 90.00
_cell_angle_beta 90.00
_cell_angle_gamma 90.00
loop_
_atom_site_label
_atom_site_type_symbol
_atom_site_fract_x
_atom_site_fract_y
_atom_site_fract_z
Ga1 Ga 0.000 0.000 0.000
Re1 Re 0.500 0.500 0.500
Pd1 Pd 0.000 0.500 0.500
```

## Properties
**Energy of formation**: 1121 meV per atom

***

This record from Alexandria via LeMat-Bulk describes TaPd6Au after structural relaxation. The functional is GGA-PBE.

Structure (CIF):
```
data_TaPd6Au
_symmetry_space_group_name_H-M 'P -1'
_symmetry_Int_Tables_number 2
_symmetry_space_group_name_Hall '-P 1'
_cell_length_a 5.056
_cell_length_b 5.085
_cell_length_c 5.103
_cell_angle_alpha 93.34
_cell_angle_beta 93.62
_cell_angle_gamma 93.80
loop_
_atom_site_label
_atom_site_type_symbol
_atom_site_fract_x
_atom_site_fract_y
_atom_site_fract_z
Ta1 Ta 0.000 0.000 0.000
Pd1 Pd 0.023 0.750 0.455
Pd2 Pd 0.251 0.546 0.975
Pd3 Pd 0.460 0.022 0.749
Au1 Au 0.500 0.500 0.500
```

## Properties
**Energy of formation**: -156 meV per atom

***

This record from Alexandria via LeMat-Bulk describes Mg2Be2SiRh5 after structural relaxation. The functional is GGA-PBE.

Structure (CIF):
```
data_Mg2Be2SiRh5
_symmetry_space_group_name_H-M 'P 4/m b m'
_symmetry_Int_Tables_number 127
_symmetry_space_group_name_Hall '-P 4 2ab'
_cell_length_a 9.413
_cell_length_b 9.413
_cell_length_c 2.977
_cell_angle_alpha 90.00
_cell_angle_beta 90.00
_cell_angle_gamma 90.00
loop_
_atom_site_label
_atom_site_type_symbol
_atom_site_fract_x
_atom_site_fract_y
_atom_site_fract_z
Mg1 Mg 0.173 0.327 0.000
Be1 Be 0.126 0.626 0.000
Si1 Si 0.000 0.000 0.000
Rh1 Rh 0.000 0.500 0.500
Rh2 Rh 0.070 0.799 0.500
```

## Properties
**E_form (uncorrected)**: -683.0 meV/atom

***

This record from Alexandria via LeMat-Bulk describes MnHgPd3 after structural relaxation. The functional is GGA-PBE.

Structure (CIF):
```
data_MnHgPd3
_symmetry_space_group_name_H-M 'P -1'
_symmetry_Int_Tables_number 2
_symmetry_space_group_name_Hall '-P 1'
_cell_length_a 4.843
_cell_length_b 4.845
_cell_length_c 7.625
_cell_angle_alpha 84.89
_cell_angle_beta 71.55
_cell_angle_gamma 74.07
loop_
_atom_site_label
_atom_site_type_symbol
_atom_site_fract_x
_atom_site_fract_y
_atom_site_fract_z
Mn1 Mn 0.143 0.250 0.213
Hg1 Hg 0.351 0.249 0.799
Pd1 Pd 0.050 0.750 0.399
Pd2 Pd 0.249 0.750 0.001
Pd3 Pd 0.448 0.750 0.604
```

## Properties
**Energy of formation**: -169 meV per atom

***

This record from Alexandria via LeMat-Bulk describes AcCePuSb after structural relaxation. The functional is GGA-PBE.

Structure (CIF):
```
data_AcCePuSb
_symmetry_space_group_name_H-M 'F -4 3 m'
_symmetry_Int_Tables_number 216
_symmetry_space_group_name_Hall 'F -4 2 3'
_cell_length_a 7.817
_cell_length_b 7.817
_cell_length_c 7.817
_cell_angle_alpha 90.00
_cell_angle_beta 90.00
_cell_angle_gamma 90.00
loop_
_atom_site_label
_atom_site_type_symbol
_atom_site_fract_x
_atom_site_fract_y
_atom_site_fract_z
Ac1 Ac 0.000 0.000 0.000
Ce1 Ce 0.250 0.250 0.750
Pu1 Pu 0.250 0.250 0.250
Sb1 Sb 0.000 0.000 0.500
```

## Properties
**E_form (uncorrected)**: -130.1 meV/atom

***

| no. | VASP energy (eV for the cell shown) |
| --- | --- |
| 1 | -128.7 |
| 2 | -25.4 |
| 3 | -47.5 |
| 4 | -119.3 |
| 5 | -51.8 |
| 6 | -116.1 |